Entry 1:
First-principles (PBE) data for an optimized crystal structure of PmYSiS, as listed in the Alexandria database.

Unit cell a=4.0778 b=4.0778 c=7.1503 alpha=73.43 beta=73.43 gamma=60.00
Closest atoms and distances in Å follow each position.
Element x y z (fractional)
1 Y 0.1942 0.1942 0.4173  3 S 2.87, 3 Si 2.87
2 Si 0.9420 0.9420 0.1741  3 Y 2.87, 3 Pm 2.92
3 Pm 0.6936 0.6936 0.9191  3 Si 2.92, 3 S 2.93
4 S 0.4466 0.4466 0.6603  3 Y 2.87, 3 Pm 2.93

Summary:
Its total energy is -26.26 eV for the cell shown. The density of states at the Fermi level is 1.6 states/eV per cell. The mass density is 5.022 g cm⁻³. The calculation puts the uncorrected formation energy at -1374 meV/atom.

---

Entry 2:
First-principles (PBE) data for an optimized crystal structure of Pm2Sm2S7, as listed in the Alexandria database.

Unit cell a=7.0132 b=6.0081 c=7.0132 alpha=90.00 beta=93.23 gamma=90.00
Closest atoms and distances in Å follow each position.
Element x y z (fractional)
1 Sm 0.7358 0.0000 0.2642  7 S 2.69-2.89
2 S 0.0000 0.2634 0.5000  2 S 2.84-3.16, 2 Sm 2.89, 2 Pm 2.92
3 Pm 0.7324 0.5000 0.7324  6 S 2.71-2.92
4 Pm 0.2676 0.5000 0.2676  6 S 2.71-2.92
5 S 0.5000 0.2448 0.5000  2 Pm 2.71, 2 Sm 2.82, 1 S 2.94
6 Sm 0.2642 0.0000 0.7358  7 S 2.69-2.89
7 S 0.5000 0.7552 0.5000  2 Pm 2.71, 2 Sm 2.82, 1 S 2.94
8 S 0.5000 0.2634 0.0000  2 S 2.84-3.16, 2 Sm 2.89, 2 Pm 2.92
9 S 0.0000 0.0000 0.0000  2 Sm 2.69
10 S 0.5000 0.7366 0.0000  2 S 2.84-3.16, 2 Sm 2.89, 2 Pm 2.92
11 S 0.0000 0.7366 0.5000  2 S 2.84-3.16, 2 Sm 2.89, 2 Pm 2.92

Summary:
Its total energy is -65.38 eV for the cell shown. The density of states at the Fermi level is 4.8 states/eV per cell. The mass density is 4.588 g cm⁻³. The calculation puts the uncorrected formation energy at -1595 meV/atom.

---

Entry 3:
First-principles (PBE) data for an optimized crystal structure of Pm3SmS, as listed in the Alexandria database.

Unit cell a=5.4706 b=5.4706 c=5.4706 alpha=90.00 beta=90.00 gamma=90.00
Closest atoms and distances in Å follow each position.
Element x y z (fractional)
1 Sm 0.5000 0.5000 0.5000  12 Pm 3.87
2 S 0.0000 0.0000 0.0000  6 Pm 2.74
3 Pm 0.5000 0.0000 0.0000  2 S 2.74
4 Pm 0.0000 0.5000 0.0000  2 S 2.74
5 Pm 0.0000 0.0000 0.5000  2 S 2.74

Summary:
Its total energy is -26.48 eV for the cell shown. The density of states at the Fermi level is 5.9 states/eV per cell. The mass density is 6.262 g cm⁻³. The calculation puts the uncorrected formation energy at -676 meV/atom.